OsPd3F | PBE | relaxed

Output
* formation energy (no corrections): 0.85 eV/atom
* polymorph energy (0 for the lowest one): 0 meV per atom

Lattice parameters (Å, degrees): 4.2990 4.2990 4.2990 90.00 90.00 90.00
Last column: nearest neighbours and their distance in Å.
Space group Pm-3m (No. 221)
Inequivalent atoms, fractional coordinates:
Os 0.0000 0.0000 0.0000  12 Pd 3.04
Pd 0.0000 0.5000 0.5000  2 F 2.15
F 0.5000 0.5000 0.5000  6 Pd 2.15